CsV2CrO7 | PBE+U | relaxed

Properties
The total energy is -158.4 eV/cell. Its space group is P2/c.

Cell: 4.987 7.006 9.010 Å, 79.79 90.00 90.00°
Fractional coordinates of all 22 atoms:
Cs: 0.378 0.250 0.500
Cs: 0.622 0.750 0.500
V: 0.004 0.127 0.158
V: 0.004 0.373 0.842
V: 0.996 0.873 0.842
V: 0.996 0.627 0.158
Cr: 0.500 0.000 0.000
Cr: 0.500 0.500 0.000
O: 0.879 0.127 0.327
O: 0.879 0.373 0.673
O: 0.121 0.873 0.673
O: 0.121 0.627 0.327
O: 0.158 0.391 0.104
O: 0.158 0.109 0.896
O: 0.842 0.609 0.896
O: 0.842 0.891 0.104
O: 0.680 0.974 0.808
O: 0.680 0.526 0.192
O: 0.320 0.026 0.192
O: 0.320 0.474 0.808
O: 0.716 0.250 0.000
O: 0.284 0.750 0.000